# La3Os, relaxed, DFT PBE
data_La3Os
_chemical_formula_sum 'La3 Os1'
_cell_length_a 3.644
_cell_length_b 4.546
_cell_length_c 6.906
_cell_angle_alpha 90.00
_cell_angle_beta 104.30
_cell_angle_gamma 90.00
_space_group_name_H-M_alt 'P 1 2/m 1'
_space_group_IT_number 10
loop_
_space_group_symop_operation_xyz
'x,y,z'
'-x,-y,-z'
'-x,y,-z'
'x,-y,z'
loop_
_atom_site_label
_atom_site_fract_x
_atom_site_fract_y
_atom_site_fract_z
_atom_site_occupancy
La1 0.000 0.000 0.000 1
La2 0.282 0.500 0.710 1
Os1 0.500 0.000 0.500 1
# - total DFT energy (no corrections) (eV per atom) = -6.34
# - DOS(E_F) (states/eV/atom) = 1.127